## HfPbCl6 (PBE)

Data for HfPbCl6 after structural relaxation.

The formation energy from raw total energies is -1.5730 eV per atom. As for the polymorph energy (0 for the lowest one): 3 meV per atom.

a b c (Å): 6.730 6.731 7.242
angles (deg): 62.33 62.38 60.06
Positions (direct):
Hf1 0.000 0.000 0.000
Pb1 0.500 0.500 0.500
Cl1 0.064 0.383 0.769
Cl2 0.217 0.936 0.231
Cl3 0.383 0.783 0.770
Cl4 0.617 0.217 0.230
Cl5 0.783 0.064 0.769
Cl6 0.936 0.617 0.231

## HfPb2Cl (PBE)

Data for HfPb2Cl after structural relaxation.

The formation energy from raw total energies is 0.2840 eV per atom. As for the polymorph energy (0 for the lowest one): 0 meV per atom.

a b c (Å): 7.505 7.505 7.505
angles (deg): 90.00 90.00 90.00
Positions (direct):
Hf1 0.000 0.000 0.000
Hf2 0.000 0.500 0.500
Hf3 0.500 0.000 0.500
Hf4 0.500 0.500 0.000
Pb1 0.250 0.250 0.250
Pb2 0.250 0.250 0.750
Pb3 0.250 0.750 0.250
Pb4 0.250 0.750 0.750
Pb5 0.750 0.250 0.250
Pb6 0.750 0.250 0.750
Pb7 0.750 0.750 0.250
Pb8 0.750 0.750 0.750
Cl1 0.000 0.000 0.500
Cl2 0.000 0.500 0.000
Cl3 0.500 0.000 0.000
Cl4 0.500 0.500 0.500

## HfPbCl2 (PBE)

Data for HfPbCl2 after structural relaxation.

The formation energy from raw total energies is -0.6302 eV per atom. As for the polymorph energy (0 for the lowest one): 299 meV per atom.

a b c (Å): 3.467 3.467 30.455
angles (deg): 90.00 90.00 120.00
Positions (direct):
Hf1 0.000 0.000 0.000
Hf2 0.333 0.667 0.667
Hf3 0.667 0.333 0.333
Pb1 0.000 0.000 0.500
Pb2 0.333 0.667 0.167
Pb3 0.667 0.333 0.833
Cl1 0.000 0.000 0.079
Cl2 0.000 0.000 0.921
Cl3 0.333 0.667 0.588
Cl4 0.333 0.667 0.745
Cl5 0.667 0.333 0.255
Cl6 0.667 0.333 0.412

## HfPbCl2 (PBE)

Data for HfPbCl2 after structural relaxation.

The formation energy from raw total energies is -0.9296 eV per atom. As for the polymorph energy (0 for the lowest one): 0 meV per atom.

a b c (Å): 3.284 3.284 35.541
angles (deg): 90.00 90.00 120.00
Positions (direct):
Hf1 0.000 0.000 0.000
Hf2 0.333 0.667 0.667
Hf3 0.667 0.333 0.333
Pb1 0.000 0.000 0.500
Pb2 0.333 0.667 0.167
Pb3 0.667 0.333 0.833
Cl1 0.000 0.000 0.384
Cl2 0.000 0.000 0.616
Cl3 0.333 0.667 0.051
Cl4 0.333 0.667 0.282
Cl5 0.667 0.333 0.718
Cl6 0.667 0.333 0.949

## HfPbCl3 (PBE)

Data for HfPbCl3 after structural relaxation.

The formation energy from raw total energies is -0.6773 eV per atom. As for the polymorph energy (0 for the lowest one): 0 meV per atom.

a b c (Å): 5.033 5.033 5.033
angles (deg): 90.00 90.00 90.00
Positions (direct):
Hf1 0.000 0.000 0.000
Pb1 0.500 0.500 0.500
Cl1 0.000 0.000 0.500
Cl2 0.000 0.500 0.000
Cl3 0.500 0.000 0.000

## HfPbCl3 (PBE)

Data for HfPbCl3 after structural relaxation.

The formation energy from raw total energies is 0.1280 eV per atom. As for the polymorph energy (0 for the lowest one): 805 meV per atom.

a b c (Å): 5.625 5.625 5.625
angles (deg): 90.00 90.00 90.00
Positions (direct):
Hf1 0.000 0.000 0.000
Pb1 0.500 0.500 0.500
Cl1 0.000 0.500 0.500
Cl2 0.500 0.000 0.500
Cl3 0.500 0.500 0.000

## RbHf2PbCl (PBE)

Data for RbHf2PbCl after structural relaxation.

The formation energy from raw total energies is 1.7021 eV per atom.

a b c (Å): 5.513 5.513 5.321
angles (deg): 90.00 90.00 90.00
Positions (direct):
Rb1 0.000 0.000 0.000
Hf1 0.000 0.500 0.000
Hf2 0.500 0.000 0.000
Pb1 0.500 0.500 0.500
Cl1 0.000 0.000 0.500

## Hf2RePbCl (PBE)

Data for Hf2RePbCl after structural relaxation.

The formation energy from raw total energies is 1.0267 eV per atom.

a b c (Å): 4.623 4.623 5.277
angles (deg): 90.00 90.00 90.00
Positions (direct):
Hf1 0.000 0.500 0.000
Hf2 0.500 0.000 0.000
Re1 0.000 0.000 0.500
Pb1 0.500 0.500 0.500
Cl1 0.500 0.500 0.000

## HfPbS2Cl (PBE)

Data for HfPbS2Cl after structural relaxation.

The formation energy from raw total energies is 0.5414 eV per atom. As for the polymorph energy (0 for the lowest one): 1451 meV per atom.

a b c (Å): 5.219 5.219 5.144
angles (deg): 90.00 90.00 90.00
Positions (direct):
Hf1 0.000 0.000 0.000
Pb1 0.500 0.500 0.500
S1 0.000 0.500 0.500
S2 0.500 0.000 0.500
Cl1 0.500 0.500 0.000

## HfPbS2Cl (PBE)

Data for HfPbS2Cl after structural relaxation.

The formation energy from raw total energies is 0.7788 eV per atom. As for the polymorph energy (0 for the lowest one): 1689 meV per atom.

a b c (Å): 4.740 4.740 5.225
angles (deg): 90.00 90.00 90.00
Positions (direct):
Hf1 0.000 0.000 0.000
Pb1 0.500 0.500 0.000
S1 0.000 0.500 0.500
S2 0.500 0.000 0.500
Cl1 0.500 0.500 0.500

## HfPbSCl2 (PBE)

Data for HfPbSCl2 after structural relaxation.

The formation energy from raw total energies is -0.7555 eV per atom. As for the polymorph energy (0 for the lowest one): 0 meV per atom.

a b c (Å): 5.198 5.198 5.223
angles (deg): 90.00 90.00 90.00
Positions (direct):
Hf1 0.000 0.000 0.000
Pb1 0.500 0.500 0.500
S1 0.000 0.000 0.500
Cl1 0.000 0.500 0.000
Cl2 0.500 0.000 0.000

## HfPbS2Cl (PBE)

Data for HfPbS2Cl after structural relaxation.

The formation energy from raw total energies is -0.9098 eV per atom. As for the polymorph energy (0 for the lowest one): 0 meV per atom.

a b c (Å): 4.984 4.984 4.945
angles (deg): 90.00 90.00 90.00
Positions (direct):
Hf1 0.000 0.000 0.000
Pb1 0.500 0.500 0.500
S1 0.000 0.500 0.000
S2 0.500 0.000 0.000
Cl1 0.000 0.000 0.500